TbPu2C after structural relaxation. Source: the Alexandria database, functional PBE.

* distance to the lowest polymorph of the same formula: 0.108 eV per atom
* magnetization: 1.07 μB per formula unit

Cell: 3.9500 3.9500 6.5742 Å, 72.52 72.52 60.00°
Closest atoms and distances in Å follow each position.
Fractional positions:
C 0.0000 0.0000 0.0000  6 Pu 2.32
Tb 0.5000 0.5000 0.5000  8 Pu 3.49-3.52, 6 C 3.83
Pu 0.3098 0.3098 0.0707  3 C 2.32, 3 Pu 2.44
Pu 0.6902 0.6902 0.9293  3 C 2.32, 3 Pu 2.44